1.
Hg2As2Cl, optimized geometry, DFT PBE-GGA; magnetization = 0.0 μB/f.u.; calculated density = 8139 kg/m3; DFT total energy = -2.245 eV per atom
1.0
-3.657 0.477 1.307
-1.344 -2.169 -2.967
-1.777 -7.280 3.545
As Hg Cl
2 2 1
Direct
0.750 0.250 0.500
0.250 0.750 0.500
0.404 0.404 0.192
0.596 0.596 0.808
0.000 0.000 0.000

=====

2.
DyGaCl, optimized geometry, DFT PBE-GGA; magnetization = 0.0 μB/f.u.; calculated density = 5727 kg/m3; DFT total energy = -4.517 eV per atom
1.0
4.085 -0.018 -0.032
-2.027 3.547 0.032
-1.958 -1.223 10.750
Dy Ga Cl
2 2 2
Direct
0.872 0.436 0.308
0.128 0.564 0.692
0.311 0.156 0.467
0.689 0.844 0.533
0.558 0.280 0.838
0.442 0.720 0.162

=====

3.
TaGeO, optimized geometry, DFT PBE-GGA; magnetization = 0.0 μB/f.u.; calculated density = 10244 kg/m3; DFT total energy = -8.205 eV per atom; polymorph energy (0 for the lowest one) = 165 meV/atom
1.0
19.084 0.000 0.000
0.000 3.710 0.000
0.000 0.000 4.938
Ge O Ta
8 8 8
Direct
0.065 0.000 0.470
0.935 0.000 0.470
0.065 0.500 0.970
0.935 0.500 0.970
0.565 0.000 0.970
0.435 0.000 0.970
0.565 0.500 0.470
0.435 0.500 0.470
0.213 0.000 0.205
0.787 0.000 0.205
0.213 0.500 0.705
0.787 0.500 0.705
0.713 0.000 0.705
0.287 0.000 0.705
0.713 0.500 0.205
0.287 0.500 0.205
0.333 0.000 0.303
0.667 0.000 0.303
0.333 0.500 0.803
0.667 0.500 0.803
0.833 0.000 0.803
0.167 0.000 0.803
0.833 0.500 0.303
0.167 0.500 0.303

=====

4.
Ba2TaRh, optimized geometry, DFT PBE-GGA; magnetization = 0.0 μB/f.u.; calculated density = 8313 kg/m3; DFT total energy = -4.798 eV per atom; polymorph energy (0 for the lowest one) = 762 meV/atom; DFT formation energy = 3.86 eV/f.u.
1.0
10.285 -1.774 -0.004
10.285 1.774 -0.004
9.980 0.000 3.053
Ba Ta Rh
2 1 1
Direct
0.759 0.759 0.759
0.241 0.241 0.241
0.000 0.000 0.000
0.500 0.500 0.500

=====

5.
NaHo2Al, optimized geometry, DFT PBE-GGA; magnetization = 0.0 μB/f.u.; calculated density = 5169 kg/m3; DFT total energy = -3.477 eV per atom; polymorph energy (0 for the lowest one) = 141 meV/atom; DFT formation energy = 0.31 eV/f.u.
1.0
3.498 0.000 0.000
1.749 3.029 0.000
1.749 1.010 11.515
Na Ho Al
1 2 1
Direct
0.000 0.000 0.000
0.102 0.102 0.693
0.898 0.898 0.307
0.500 0.500 0.500

=====

6.
Sn3Hg3Pb, optimized geometry, DFT PBE-GGA; magnetization = 0.0 μB/f.u.; calculated density = 7603 kg/m3; DFT total energy = -1.938 eV per atom; polymorph energy (0 for the lowest one) = 367 meV/atom; DFT formation energy = 3.05 eV/f.u.
1.0
7.984 0.000 0.000
0.000 7.984 0.000
0.000 0.000 7.984
Pb Hg Sn
2 6 6
Direct
0.500 0.500 0.500
0.000 0.000 0.000
0.250 0.000 0.500
0.000 0.500 0.250
0.500 0.750 0.000
0.750 0.000 0.500
0.000 0.500 0.750
0.500 0.250 0.000
0.000 0.250 0.500
0.000 0.750 0.500
0.500 0.000 0.750
0.750 0.500 0.000
0.500 0.000 0.250
0.250 0.500 0.000

=====

7.
Dy3PuAs4, optimized geometry, DFT PBE-GGA; magnetization = 4.9 μB/f.u.; calculated density = 8656 kg/m3; DFT total energy = -7.238 eV per atom; polymorph energy (0 for the lowest one) = 2 meV/atom; DFT formation energy = -11.17 eV/f.u.
1.0
-5.288 2.443 -0.155
-1.693 -3.384 4.431
1.767 4.066 3.781
As Pu Dy
4 1 3
Direct
0.500 0.000 0.000
0.000 0.500 0.000
0.000 0.000 0.500
0.500 0.500 0.500
0.000 0.000 0.000
0.000 0.500 0.500
0.500 0.000 0.500
0.500 0.500 0.000

=====

8.
YNi2IrPb, optimized geometry, DFT PBE-GGA; magnetization = 0.0 μB/f.u.; calculated density = 8991 kg/m3; DFT total energy = -5.412 eV per atom; DFT formation energy = 3.54 eV/f.u.
1.0
-1.179 -0.389 -4.519
-4.560 -1.826 1.347
-1.723 4.358 0.074
Pb Y Ir Ni
1 1 1 2
Direct
0.000 0.000 0.000
0.500 0.500 0.500
0.000 0.500 0.000
0.000 0.000 0.500
0.500 0.000 0.000

=====

9.
Li3Tb2PrSe6, optimized geometry, DFT PBE-GGA; magnetization = 0.0 μB/f.u.; calculated density = 5456 kg/m3; DFT total energy = -5.070 eV per atom
1.0
7.172 -0.002 0.002
-3.586 6.211 0.002
-1.195 -2.069 6.515
Li Tb Pr Se
3 2 1 6
Direct
0.169 0.831 0.500
0.831 0.169 0.500
0.500 0.500 0.500
0.333 0.667 0.000
0.667 0.333 0.000
0.000 0.000 0.000
0.915 0.573 0.744
0.743 0.743 0.257
0.085 0.427 0.256
0.573 0.915 0.744
0.257 0.257 0.743
0.427 0.085 0.256

=====

10.
LaScTa, optimized geometry, DFT PBE-GGA; magnetization = 0.0 μB/f.u.; calculated density = 8194 kg/m3; DFT total energy = -7.334 eV per atom; polymorph energy (0 for the lowest one) = 88 meV/atom; DFT formation energy = 1.11 eV/f.u.
1.0
3.186 0.000 0.000
-1.593 2.759 0.000
0.000 0.000 8.410
La Sc Ta
1 1 1
Direct
0.000 0.000 0.982
0.667 0.333 0.370
0.333 0.667 0.648

=====

11.
SiWI2N, optimized geometry, DFT PBE-GGA; magnetization = 0.5 μB/f.u.; calculated density = 6637 kg/m3; DFT total energy = -5.203 eV per atom; polymorph energy (0 for the lowest one) = 0 meV/atom
1.0
-0.180 -5.392 1.481
1.760 1.352 5.135
-3.638 0.433 1.133
I Si W N
2 1 1 1
Direct
0.000 0.500 0.000
0.500 0.000 0.000
0.500 0.500 0.500
0.000 0.000 0.000
0.000 0.000 0.500

=====

12.
CuReOs2, optimized geometry, DFT PBE-GGA; magnetization = 0.0 μB/f.u.; calculated density = 18612 kg/m3; DFT total energy = -9.452 eV per atom; polymorph energy (0 for the lowest one) = 118 meV/atom; DFT formation energy = 1.19 eV/f.u.
1.0
4.649 0.003 0.000
1.428 4.424 0.000
-3.038 -2.214 2.735
Cu Os Re
1 2 1
Direct
0.750 0.250 0.500
0.000 0.000 0.000
0.500 0.500 0.000
0.250 0.750 0.500

=====

> Which formula does entry 4 have?

Ba2TaRh

=====

What did the first record say?
Hg2As2Cl, optimized geometry, DFT PBE-GGA; magnetization = 0.0 μB/f.u.; calculated density = 8139 kg/m3; DFT total energy = -2.245 eV per atom
1.0
-3.657 0.477 1.307
-1.344 -2.169 -2.967
-1.777 -7.280 3.545
As Hg Cl
2 2 1
Direct
0.750 0.250 0.500
0.250 0.750 0.500
0.404 0.404 0.192
0.596 0.596 0.808
0.000 0.000 0.000

=====

> Look up the calculated density of the fourth one.

8313 kg/m3